The following is a DFT calculation (PBE) of IrPt2Rh after structural relaxation.

abc: 5.469 5.469 2.732
angles: 104.17 104.17 120.63
Sites, in units of the cell vectors:
Ir 0.000 0.000 0.000
Pt 0.000 0.500 0.000
Pt 0.500 0.000 0.000
Rh 0.500 0.500 0.000

Computed properties:
Energy relative to the lowest polymorph listed for this composition in meV per atom: 170


The following is a DFT calculation (PBE) of Ir3Pt2Rh4 after structural relaxation.

abc: 7.690 7.690 6.570
angles: 98.00 98.00 20.42
Sites, in units of the cell vectors:
Ir 0.000 0.000 0.000
Ir 0.107 0.107 0.373
Ir 0.893 0.893 0.627
Pt 0.334 0.334 0.960
Pt 0.666 0.666 0.040
Rh 0.281 0.281 0.346
Rh 0.452 0.452 0.317
Rh 0.548 0.548 0.683
Rh 0.719 0.719 0.654

Computed properties:
Energy relative to the lowest polymorph listed for this composition in meV per atom: 0


The following is a DFT calculation (PBE) of Ir3PtRh12 after structural relaxation.

abc: 3.854 3.854 15.429
angles: 90.00 90.00 90.00
Sites, in units of the cell vectors:
Ir 0.000 0.000 0.000
Ir 0.000 0.000 0.250
Ir 0.000 0.000 0.750
Pt 0.000 0.000 0.500
Rh 0.000 0.500 0.125
Rh 0.000 0.500 0.372
Rh 0.000 0.500 0.628
Rh 0.000 0.500 0.875
Rh 0.500 0.000 0.125
Rh 0.500 0.000 0.372
Rh 0.500 0.000 0.628
Rh 0.500 0.000 0.875
Rh 0.500 0.500 0.000
Rh 0.500 0.500 0.249
Rh 0.500 0.500 0.500
Rh 0.500 0.500 0.751

Computed properties:
VASP energy in eV per atom: -7.57


The following is a DFT calculation (PBE) of IrPt14Rh after structural relaxation.

abc: 9.255 5.571 5.571
angles: 60.01 90.00 90.00
Sites, in units of the cell vectors:
Ir 0.000 0.000 0.000
Pt 0.000 0.001 0.500
Pt 0.000 0.500 0.001
Pt 0.246 0.331 0.832
Pt 0.246 0.832 0.331
Pt 0.248 0.833 0.833
Pt 0.250 0.333 0.333
Pt 0.500 0.165 0.165
Pt 0.500 0.165 0.666
Pt 0.500 0.665 0.665
Pt 0.500 0.666 0.165
Pt 0.750 0.333 0.333
Pt 0.752 0.833 0.833
Pt 0.754 0.331 0.832
Pt 0.754 0.832 0.331
Rh 0.000 0.500 0.500

Computed properties:
VASP energy in eV per atom: -6.26


The following is a DFT calculation (PBE) of Ir2PtRh after structural relaxation.

abc: 2.750 3.870 5.530
angles: 90.00 90.00 90.00
Sites, in units of the cell vectors:
Ir 0.000 0.000 0.000
Ir 0.500 0.500 0.238
Pt 0.000 0.000 0.496
Rh 0.500 0.500 0.752

Computed properties:
Energy relative to the lowest polymorph listed for this composition in meV per atom: 16


The following is a DFT calculation (PBE) of Ir3PtRh2 after structural relaxation.

abc: 8.175 8.175 6.052
angles: 94.45 94.45 27.13
Sites, in units of the cell vectors:
Ir 0.073 0.073 0.118
Ir 0.309 0.309 0.962
Ir 0.385 0.385 0.587
Ir 0.615 0.615 0.413
Ir 0.691 0.691 0.038
Ir 0.927 0.927 0.882
Pt 0.151 0.151 0.724
Pt 0.849 0.849 0.276
Rh 0.228 0.228 0.343
Rh 0.463 0.463 0.205
Rh 0.537 0.537 0.795
Rh 0.772 0.772 0.657

Computed properties:
Energy relative to the lowest polymorph listed for this composition in meV per atom: 0


The following is a DFT calculation (PBE) of Ir3Pt2Rh4 after structural relaxation.

abc: 7.669 6.489 5.329
angles: 80.28 56.50 43.22
Sites, in units of the cell vectors:
Ir 0.000 0.000 0.000
Ir 0.000 0.000 0.500
Ir 0.500 0.500 0.000
Pt 0.383 0.383 0.617
Pt 0.617 0.617 0.383
Rh 0.046 0.328 0.672
Rh 0.328 0.046 0.954
Rh 0.672 0.954 0.046
Rh 0.954 0.672 0.328

Computed properties:
Energy relative to the lowest polymorph listed for this composition in meV per atom: 216


The following is a DFT calculation (PBE) of Ir2PtRh after structural relaxation.

abc: 2.755 3.877 5.512
angles: 90.00 90.00 90.00
Sites, in units of the cell vectors:
Ir 0.000 0.000 0.245
Ir 0.000 0.000 0.755
Pt 0.500 0.500 0.500
Rh 0.500 0.500 0.000

Computed properties:
Energy relative to the lowest polymorph listed for this composition in meV per atom: 62


The following is a DFT calculation (PBE) of Ir4Pt5Rh2 after structural relaxation.

abc: 5.510 5.510 6.778
angles: 94.00 94.00 58.85
Sites, in units of the cell vectors:
Ir 0.105 0.105 0.150
Ir 0.271 0.271 0.497
Ir 0.729 0.729 0.503
Ir 0.895 0.895 0.850
Pt 0.000 0.000 0.500
Pt 0.106 0.603 0.189
Pt 0.397 0.894 0.811
Pt 0.603 0.106 0.189
Pt 0.894 0.397 0.811
Rh 0.399 0.399 0.835
Rh 0.601 0.601 0.165

Computed properties:
VASP energy in eV per atom: -7.03


The following is a DFT calculation (PBE) of IrPtRh3 after structural relaxation.

abc: 7.486 7.486 5.175
angles: 110.02 110.02 35.81
Sites, in units of the cell vectors:
Ir 0.202 0.202 0.452
Ir 0.798 0.798 0.548
Pt 0.402 0.402 0.152
Pt 0.598 0.598 0.848
Rh 0.004 0.004 0.254
Rh 0.200 0.200 0.950
Rh 0.397 0.397 0.647
Rh 0.603 0.603 0.353
Rh 0.800 0.800 0.050
Rh 0.996 0.996 0.746

Computed properties:
Energy relative to the lowest polymorph listed for this composition in meV per atom: 58


The following is a DFT calculation (PBE) of IrPtRh2 after structural relaxation.

abc: 4.398 4.398 4.398
angles: 60.00 60.00 60.00
Sites, in units of the cell vectors:
Ir 0.000 0.000 0.000
Pt 0.250 0.250 0.250
Rh 0.500 0.500 0.500
Rh 0.750 0.750 0.750

Computed properties:
Energy relative to the lowest polymorph listed for this composition in meV per atom: 379


The following is a DFT calculation (PBE) of IrPtRh2 after structural relaxation.

abc: 5.452 5.452 5.452
angles: 151.38 128.92 59.60
Sites, in units of the cell vectors:
Ir 0.000 0.000 0.000
Pt 0.253 0.753 0.500
Rh 0.513 0.513 0.000
Rh 0.762 0.262 0.500

Computed properties:
Energy relative to the lowest polymorph listed for this composition in meV per atom: 215


The following is a DFT calculation (PBE) of IrPt3Rh after structural relaxation.

abc: 8.990 8.586 4.679
angles: 79.40 69.84 30.77
Sites, in units of the cell vectors:
Ir 0.000 0.000 0.000
Ir 0.250 0.250 0.250
Pt 0.080 0.080 0.420
Pt 0.169 0.169 0.831
Pt 0.419 0.419 0.081
Pt 0.667 0.667 0.333
Pt 0.830 0.830 0.170
Pt 0.917 0.917 0.583
Rh 0.329 0.329 0.671
Rh 0.579 0.579 0.921

Computed properties:
Energy relative to the lowest polymorph listed for this composition in meV per atom: 0


The following is a DFT calculation (PBE) of IrPtRh2 after structural relaxation.

abc: 2.695 4.710 4.717
angles: 90.00 90.00 90.00
Sites, in units of the cell vectors:
Ir 0.000 0.000 0.000
Pt 0.500 0.500 0.000
Rh 0.000 0.500 0.500
Rh 0.500 0.000 0.500

Computed properties:
Energy relative to the lowest polymorph listed for this composition in meV per atom: 242


The following is a DFT calculation (PBE) of IrPtRh2 after structural relaxation.

abc: 2.738 2.738 7.801
angles: 90.00 90.00 90.00
Sites, in units of the cell vectors:
Ir 0.000 0.000 0.000
Pt 0.000 0.000 0.500
Rh 0.500 0.500 0.240
Rh 0.500 0.500 0.760

Computed properties:
Energy relative to the lowest polymorph listed for this composition in meV per atom: 0


The following is a DFT calculation (PBE) of IrPt3Rh4 after structural relaxation.

abc: 9.851 9.851 9.851
angles: 164.23 152.29 32.04
Sites, in units of the cell vectors:
Ir 0.000 0.000 0.000
Pt 0.248 0.248 0.000
Pt 0.500 0.500 0.000
Pt 0.752 0.752 0.000
Rh 0.121 0.621 0.500
Rh 0.373 0.873 0.500
Rh 0.627 0.127 0.500
Rh 0.879 0.379 0.500

Computed properties:
Energy relative to the lowest polymorph listed for this composition in meV per atom: 156


The following is a DFT calculation (PBE) of Ir4Pt5Rh4 after structural relaxation.

abc: 7.304 7.304 7.304
angles: 94.07 94.07 149.10
Sites, in units of the cell vectors:
Ir 0.074 0.387 0.461
Ir 0.387 0.926 0.312
Ir 0.613 0.074 0.688
Ir 0.926 0.613 0.539
Pt 0.000 0.000 0.000
Pt 0.304 0.536 0.840
Pt 0.464 0.304 0.768
Pt 0.536 0.696 0.232
Pt 0.696 0.464 0.160
Rh 0.156 0.766 0.922
Rh 0.234 0.156 0.391
Rh 0.766 0.844 0.609
Rh 0.844 0.234 0.078

Computed properties:
VASP energy in eV per atom: -7.32


The following is a DFT calculation (PBE) of IrPtRh2 after structural relaxation.

abc: 4.756 4.756 4.756
angles: 131.90 131.90 70.38
Sites, in units of the cell vectors:
Ir 0.000 0.000 0.000
Pt 0.250 0.750 0.500
Rh 0.500 0.500 0.000
Rh 0.750 0.250 0.500

Computed properties:
Energy relative to the lowest polymorph listed for this composition in meV per atom: 46


The following is a DFT calculation (PBE) of IrPt2Rh2 after structural relaxation.

abc: 6.791 6.791 3.466
angles: 90.00 90.00 90.00
Sites, in units of the cell vectors:
Ir 0.000 0.000 0.000
Ir 0.500 0.500 0.000
Pt 0.139 0.361 0.000
Pt 0.361 0.861 0.000
Pt 0.639 0.139 0.000
Pt 0.861 0.639 0.000
Rh 0.159 0.659 0.500
Rh 0.341 0.159 0.500
Rh 0.659 0.841 0.500
Rh 0.841 0.341 0.500

Computed properties:
Energy relative to the lowest polymorph listed for this composition in meV per atom: 459


The following is a DFT calculation (PBE) of Ir2PtRh after structural relaxation.

abc: 2.725 2.725 9.450
angles: 90.00 90.00 120.70
Sites, in units of the cell vectors:
Ir 0.000 0.000 0.245
Ir 0.000 0.000 0.755
Pt 0.500 0.500 0.500
Rh 0.500 0.500 0.000

Computed properties:
Energy relative to the lowest polymorph listed for this composition in meV per atom: 235


The following is a DFT calculation (PBE) of Ir2PtRh7 after structural relaxation.

abc: 8.504 8.504 2.666
angles: 90.00 90.00 121.91
Sites, in units of the cell vectors:
Ir 0.197 0.803 0.000
Ir 0.803 0.197 0.000
Pt 0.000 0.000 0.500
Rh 0.136 0.332 0.000
Rh 0.332 0.136 0.000
Rh 0.343 0.657 0.500
Rh 0.500 0.500 0.000
Rh 0.657 0.343 0.500
Rh 0.668 0.864 0.000
Rh 0.864 0.668 0.000

Computed properties:
VASP energy in eV per atom: -7.11


The following is a DFT calculation (PBE) of IrPtRh2 after structural relaxation.

abc: 3.880 3.880 3.880
angles: 90.00 90.00 90.00
Sites, in units of the cell vectors:
Ir 0.000 0.000 0.000
Pt 0.500 0.500 0.000
Rh 0.000 0.500 0.500
Rh 0.500 0.000 0.500

Computed properties:
Energy relative to the lowest polymorph listed for this composition in meV per atom: 49


The following is a DFT calculation (PBE) of Ir2PtRh after structural relaxation.

abc: 2.727 2.727 9.444
angles: 90.00 90.00 120.75
Sites, in units of the cell vectors:
Ir 0.000 0.000 0.000
Ir 0.500 0.500 0.244
Pt 0.000 0.000 0.501
Rh 0.500 0.500 0.755

Computed properties:
Energy relative to the lowest polymorph listed for this composition in meV per atom: 211


The following is a DFT calculation (PBE) of IrPt4Rh after structural relaxation.

abc: 5.193 5.193 5.193
angles: 60.00 60.00 60.00
Sites, in units of the cell vectors:
Ir 0.000 0.000 0.000
Pt 0.125 0.625 0.625
Pt 0.625 0.125 0.625
Pt 0.625 0.625 0.125
Pt 0.625 0.625 0.625
Rh 0.250 0.250 0.250

Computed properties:
Energy relative to the lowest polymorph listed for this composition in meV per atom: 463


The following is a DFT calculation (PBE) of IrPtRh3 after structural relaxation.

abc: 7.276 7.276 7.276
angles: 43.21 43.21 43.21
Sites, in units of the cell vectors:
Ir 0.112 0.112 0.112
Ir 0.888 0.888 0.888
Pt 0.334 0.334 0.334
Pt 0.666 0.666 0.666
Rh 0.109 0.611 0.611
Rh 0.389 0.389 0.891
Rh 0.389 0.891 0.389
Rh 0.611 0.109 0.611
Rh 0.611 0.611 0.109
Rh 0.891 0.389 0.389

Computed properties:
Energy relative to the lowest polymorph listed for this composition in meV per atom: 0